# 1
A relaxed PrY2CdN crystal, computed with GGA-PBE.

Output
* mass density: 6.2 g/cm3
* raw formation energy: -3.946 eV/f.u.
* DOS at the Fermi energy: 4.6 states/eV/cell
* volume: 23.95 Å³/atom
* total moment: 0.000 μB per formula unit

Cell lengths 4.8451, 4.8451, 5.1017 Å; angles 90.00, 90.00, 90.00 degrees
Positions (direct):
Pr: 0.0000 0.0000 0.0000
Y: 0.0000 0.5000 0.5000
Y: 0.5000 0.0000 0.5000
Cd: 0.5000 0.5000 0.0000
N: 0.0000 0.0000 0.5000

***

# 2
A relaxed AcHg6Pb2 crystal, computed with GGA-PBE.

Output
* formation energy: -0.155 eV/atom
* mass density: 11.9 g/cm3
* DOS at the Fermi energy: 5.2 states/eV/cell
* excess energy over the best structure of this formula in the dataset: 0.000 eV/atom
* volume: 28.49 Å³/atom
* total moment: 0.000 μB per formula unit

Cell lengths 9.0342, 9.0342, 5.4441 Å; angles 98.80, 98.80, 139.86 degrees
Positions (direct):
Ac: 0.0000 0.0000 0.0000
Hg: 0.1688 0.5086 0.1736
Hg: 0.3678 0.3678 0.6845
Hg: 0.4914 0.8312 0.8264
Hg: 0.5086 0.1688 0.1736
Hg: 0.6322 0.6322 0.3155
Hg: 0.8312 0.4914 0.8264
Pb: 0.1608 0.8392 0.5000
Pb: 0.8392 0.1608 0.5000

***

# 3
A relaxed ReMo2Pb crystal, computed with GGA-PBE.

Output
* formation energy: 0.531 eV/atom
* mass density: 13.6 g/cm3
* DOS at the Fermi energy: 3.8 states/eV/cell
* volume: 17.80 Å³/atom
* total moment: 0.000 μB per formula unit

Cell lengths 2.9896, 4.0946, 5.8179 Å; angles 90.00, 90.06, 90.00 degrees
Positions (direct):
Re: 0.0000 0.0000 0.0000
Mo: 0.4976 0.5000 0.2077
Mo: 0.5024 0.5000 0.7923
Pb: 0.0000 0.0000 0.5000

***

# 4
A relaxed CaMgRh2 crystal, computed with GGA-PBE.

Output
* formation energy: -0.113 eV/atom
* mass density: 6.2 g/cm3
* DOS at the Fermi energy: 4.2 states/eV/cell
* volume: 18.19 Å³/atom
* total moment: 0.000 μB per formula unit

Cell lengths 2.9888, 4.1498, 5.8674 Å; angles 90.00, 90.00, 90.00 degrees
Positions (direct):
Ca: 0.0000 0.0000 0.0000
Mg: 0.5000 0.5000 0.3359
Rh: 0.0000 0.0000 0.5198
Rh: 0.5000 0.5000 0.7699

***

# 5
A relaxed LaTb5Sm2Dy crystal, computed with GGA-PBE.

Output
* formation energy: 0.266 eV/atom
* mass density: 7.7 g/cm3
* DOS at the Fermi energy: 20.8 states/eV/cell
* volume: 33.35 Å³/atom
* total moment: 0.000 μB per formula unit

Cell lengths 9.9317, 9.9317, 9.9317 Å; angles 127.35, 127.35, 77.68 degrees
Positions (direct):
La: 0.2500 0.2500 0.0000
La: 0.7500 0.7500 0.0000
Tb: 0.0000 0.0000 0.0000
Tb: 0.0723 0.5723 0.9151
Tb: 0.1572 0.0723 0.5000
Tb: 0.3428 0.8428 0.9151
Tb: 0.4277 0.3428 0.5000
Tb: 0.5000 0.5000 0.0000
Tb: 0.5723 0.6572 0.5000
Tb: 0.6572 0.1572 0.0849
Tb: 0.8428 0.9277 0.5000
Tb: 0.9277 0.4277 0.0849
Sm: 0.1163 0.3837 0.5000
Sm: 0.3837 0.8837 0.2673
Sm: 0.6163 0.1163 0.7327
Sm: 0.8837 0.6163 0.5000
Dy: 0.2500 0.7500 0.5000
Dy: 0.7500 0.2500 0.5000

***

# 6
A relaxed Lu2ZrAl crystal, computed with GGA-PBE.

Output
* formation energy: -0.019 eV/atom
* mass density: 8.0 g/cm3
* DOS at the Fermi energy: 3.7 states/eV/cell
* excess energy over the best structure of this formula in the dataset: 0.169 eV/atom
* volume: 24.14 Å³/atom
* total moment: 2.476 μB per formula unit

Cell lengths 5.1498, 5.1498, 5.1498 Å; angles 60.00, 60.00, 60.00 degrees
Positions (direct):
Lu: 0.2500 0.2500 0.2500
Lu: 0.7500 0.7500 0.7500
Zr: 0.0000 0.0000 0.0000
Al: 0.5000 0.5000 0.5000